Below is a relaxed PmHo2SiN4 crystal, with properties calculated at the GGA-PBE level.

```
PmHo2SiN4
1.0
1.684 -5.748 0.000
1.684 5.748 0.000
0.000 0.000 11.492
Pm Ho Si N
2 4 2 8
Direct
0.088 0.912 0.750
0.912 0.088 0.250
0.369 0.631 0.542
0.369 0.631 0.958
0.631 0.369 0.042
0.631 0.369 0.458
0.177 0.823 0.250
0.823 0.177 0.750
0.000 0.000 0.000
0.000 0.000 0.500
0.266 0.734 0.129
0.266 0.734 0.371
0.406 0.594 0.750
0.594 0.406 0.250
0.734 0.266 0.629
0.734 0.266 0.871
```

Calculated density in kg/m3: 8345
DOS at the Fermi energy in states/eV/f.u.: 1.4
ΔE_f (raw) in eV/atom: -1.36

---

Below is a relaxed Pm2SmHoN4 crystal, with properties calculated at the GGA-PBE level.

```
Pm2SmHoN4
1.0
6.178 0.000 0.000
0.000 3.569 0.000
-2.054 0.000 5.827
Pm Sm Ho N
2 1 1 4
Direct
0.000 0.000 0.000
0.500 0.500 0.000
0.000 0.500 0.500
0.500 0.000 0.500
0.252 0.000 0.746
0.256 0.500 0.257
0.744 0.500 0.743
0.748 0.000 0.254
```

Calculated density in kg/m3: 8548
DOS at the Fermi energy in states/eV/f.u.: 0.3
ΔE_f (raw) in eV/atom: -1.51

---

Below is a relaxed PmSm2HoN4 crystal, with properties calculated at the GGA-PBE level.

```
PmSm2HoN4
1.0
6.167 0.000 0.000
0.000 3.563 0.000
-2.051 0.000 5.817
Pm Sm Ho N
1 2 1 4
Direct
0.000 0.000 0.000
0.500 0.000 0.500
0.500 0.500 0.000
0.000 0.500 0.500
0.245 0.000 0.744
0.248 0.500 0.254
0.752 0.500 0.746
0.755 0.000 0.256
```

Calculated density in kg/m3: 8662
DOS at the Fermi energy in states/eV/f.u.: 0.3
ΔE_f (raw) in eV/atom: -1.52

---

Below is a relaxed Pm2HoSnN4 crystal, with properties calculated at the GGA-PBE level.

```
Pm2HoSnN4
1.0
6.080 0.000 0.000
0.000 3.537 0.000
-2.099 0.000 5.784
Pm Ho Sn N
2 1 1 4
Direct
0.000 0.000 0.000
0.000 0.500 0.500
0.500 0.000 0.500
0.500 0.500 0.000
0.255 0.500 0.260
0.257 0.000 0.747
0.743 0.000 0.253
0.745 0.500 0.740
```

Calculated density in kg/m3: 8406
DOS at the Fermi energy in states/eV/f.u.: 4.0
ΔE_f (raw) in eV/atom: -0.95

---

Below is a relaxed Pm3Ho2TaN6 crystal, with properties calculated at the GGA-PBE level.

```
Pm3Ho2TaN6
1.0
2.979 -5.155 0.000
2.979 5.155 0.000
-1.982 0.000 5.675
Pm Ho Ta N
3 2 1 6
Direct
0.000 0.000 0.000
0.333 0.667 0.000
0.667 0.333 0.000
0.167 0.833 0.500
0.833 0.167 0.500
0.500 0.500 0.500
0.118 0.426 0.280
0.266 0.266 0.726
0.426 0.118 0.280
0.574 0.882 0.720
0.734 0.734 0.274
0.882 0.574 0.720
```

Calculated density in kg/m3: 9812
DOS at the Fermi energy in states/eV/f.u.: 1.9
ΔE_f (raw) in eV/atom: -1.50

---

Below is a relaxed PmHoTaN3 crystal, with properties calculated at the GGA-PBE level.

```
PmHoTaN3
1.0
6.528 0.000 0.000
0.000 3.338 0.000
-0.838 0.000 9.452
Pm Ho Ta N
2 2 2 6
Direct
0.205 0.250 0.244
0.795 0.750 0.756
0.337 0.750 0.886
0.663 0.250 0.114
0.144 0.250 0.580
0.856 0.750 0.420
0.109 0.250 0.786
0.200 0.750 0.465
0.399 0.750 0.124
0.601 0.250 0.876
0.800 0.250 0.535
0.891 0.750 0.214
```

Calculated density in kg/m3: 8594
DOS at the Fermi energy in states/eV/f.u.: 2.1
ΔE_f (raw) in eV/atom: -1.11

---

Below is a relaxed Tb2PmHoN4 crystal, with properties calculated at the GGA-PBE level.

```
Tb2PmHoN4
1.0
6.089 0.000 0.000
0.000 3.517 0.000
-2.026 0.000 5.743
Tb Pm Ho N
2 1 1 4
Direct
0.000 0.000 0.000
0.000 0.500 0.500
0.500 0.000 0.500
0.500 0.500 0.000
0.246 0.500 0.244
0.250 0.000 0.754
0.750 0.000 0.246
0.754 0.500 0.756
```

Calculated density in kg/m3: 9231
DOS at the Fermi energy in states/eV/f.u.: 0.2
ΔE_f (raw) in eV/atom: -1.61

---

Below is a relaxed TbPmHo2N4 crystal, with properties calculated at the GGA-PBE level.

```
TbPmHo2N4
1.0
6.068 0.000 0.000
0.000 3.505 0.000
-2.019 0.000 5.724
Tb Pm Ho N
1 1 2 4
Direct
0.000 0.000 0.000
0.500 0.500 0.000
0.000 0.500 0.500
0.500 0.000 0.500
0.244 0.000 0.742
0.249 0.500 0.255
0.751 0.500 0.745
0.756 0.000 0.258
```

Calculated density in kg/m3: 9410
DOS at the Fermi energy in states/eV/f.u.: 0.2
ΔE_f (raw) in eV/atom: -1.63

---

Which value of ΔE_f (raw) does entry 3 give?
-1.52 eV/atom